LiPr2Zn2Pt5: relaxed, PBE.

For the density of states at the Fermi level, the calculation gives 0.413 states/eV/atom. As for the calculated formation energy: -7.13 eV per formula unit. For the total magnetization, the calculation gives 0.00 Bohr magnetons per cell.

The structure belongs to space group P4/mbm (No. 127); the cell edges are 9.7764, 9.7764 and 3.8437 Å and the angles 90.00°, 90.00° and 90.00°. The distinct sites, in fractional coordinates, are Li at (0.0000, 0.0000, 0.0000), Pr at (0.1782, 0.3218, 0.0000), Zn at (0.1202, 0.6202, 0.0000), Pt at (0.0000, 0.5000, 0.5000) and Pt at (0.0628, 0.7972, 0.5000).